[1]
# Th8Te4IrOs3 (PBE-GGA, optimized geometry)
data_Th8Te4IrOs3
_cell_length_a 8.4032
_cell_length_b 8.4032
_cell_length_c 23.0474
_cell_angle_alpha 90.00
_cell_angle_beta 90.00
_cell_angle_gamma 120.00
_space_group_name_H-M_alt 'R -3 m'
_space_group_IT_number 166
_space_group_name_Hall '-R 3 2"'
loop_
_atom_site_label
_atom_site_type_symbol
_atom_site_fract_x
_atom_site_fract_y
_atom_site_fract_z
_atom_site_occupancy
Th1 Th 0.0000 0.0000 0.2331 1
Th2 Th 0.0033 0.5017 0.7669 1
Te1 Te 0.0000 0.0000 0.0000 1
Te2 Te 0.0000 0.5000 0.0000 1
Ir1 Ir 0.0000 0.0000 0.5000 1
Os1 Os 0.0000 0.5000 0.5000 1
# * formation energy without anion corrections: -0.922 eV per atom
# * crystal system: trigonal
# * total energy: -387.67 eV for the cell shown
# * DOS(E_F): 0.443 states/eV/atom
# * magnetic moment: 0.0 μB per formula unit

=====

[2]
# NbGa2Mo (PBE-GGA, optimized geometry)
data_NbGa2Mo
_cell_length_a 3.6389
_cell_length_b 3.6460
_cell_length_c 6.4242
_cell_angle_alpha 106.35
_cell_angle_beta 90.13
_cell_angle_gamma 119.80
_space_group_name_H-M_alt 'P -1'
_space_group_IT_number 2
loop_
_space_group_symop_operation_xyz
'x,y,z'
'-x,-y,-z'
loop_
_atom_site_label
_atom_site_type_symbol
_atom_site_fract_x
_atom_site_fract_y
_atom_site_fract_z
_atom_site_occupancy
Nb1 Nb 0.0000 0.0000 0.0000 1
Ga1 Ga 0.2467 0.4936 0.7406 1
Mo1 Mo 0.5000 0.0000 0.5000 1
# * crystal system: triclinic
# * total energy: -26.05 eV for the cell shown
# * DOS(E_F): 0.591 states/eV/atom
# * offset from the most stable computed form: 292 meV/atom
# * magnetic moment: 0.0 μB per formula unit

=====

[3]
# KZrTe4 (PBE-GGA, optimized geometry)
data_KZrTe4
_cell_length_a 6.9459
_cell_length_b 7.1288
_cell_length_c 7.5242
_cell_angle_alpha 89.99
_cell_angle_beta 90.00
_cell_angle_gamma 89.94
_space_group_name_H-M_alt 'P -1'
_space_group_IT_number 2
loop_
_space_group_symop_operation_xyz
'x,y,z'
'-x,-y,-z'
loop_
_atom_site_label
_atom_site_type_symbol
_atom_site_fract_x
_atom_site_fract_y
_atom_site_fract_z
_atom_site_occupancy
K1 K 0.0005 0.9998 0.2501 1
Zr1 Zr 0.4999 0.5001 0.2496 1
Te1 Te 0.1762 0.3818 0.9999 1
Te2 Te 0.1765 0.6175 0.5001 1
Te3 Te 0.3853 0.8137 0.9999 1
Te4 Te 0.3857 0.1859 0.5000 1
# * formation energy without anion corrections: -0.724 eV per atom
# * crystal system: triclinic
# * total energy: -53.11 eV for the cell shown
# * DOS(E_F): 0.402 states/eV/atom
# * offset from the most stable computed form: 0 meV/atom
# * magnetic moment: 0.0 μB per formula unit

=====

[4]
# Tb6CeNd3Dy2 (PBE-GGA, optimized geometry)
data_Tb6CeNd3Dy2
_cell_length_a 6.2201
_cell_length_b 10.7705
_cell_length_c 11.8688
_cell_angle_alpha 90.00
_cell_angle_beta 100.06
_cell_angle_gamma 90.00
_space_group_name_H-M_alt 'C 1 2/m 1'
_space_group_IT_number 12
loop_
_space_group_symop_operation_xyz
'x,y,z'
'-x,-y,-z'
'-x,y,-z'
'x,-y,z'
'x+1/2,y+1/2,z'
'-x+1/2,-y+1/2,-z'
'-x+1/2,y+1/2,-z'
'x+1/2,-y+1/2,z'
loop_
_atom_site_label
_atom_site_type_symbol
_atom_site_fract_x
_atom_site_fract_y
_atom_site_fract_z
_atom_site_occupancy
Tb1 Tb 0.2477 0.1656 0.2463 1
Tb2 Tb 0.2492 0.0000 0.7535 1
Ce1 Ce 0.0000 0.0000 0.0000 1
Nd1 Nd 0.0000 0.1675 0.5000 1
Nd2 Nd 0.0000 0.5000 0.5000 1
Dy1 Dy 0.0000 0.3334 0.0000 1
# * crystal system: monoclinic
# * total energy: -113.63 eV for the cell shown
# * DOS(E_F): 1.587 states/eV/atom
# * magnetic moment: 1.2 μB per formula unit

=====

[5]
# BaTaB2 (PBE-GGA, optimized geometry)
data_BaTaB2
_cell_length_a 6.4721
_cell_length_b 6.4721
_cell_length_c 6.4721
_cell_angle_alpha 90.00
_cell_angle_beta 90.00
_cell_angle_gamma 90.00
_space_group_name_H-M_alt 'F m -3 m'
_space_group_IT_number 225
_space_group_name_Hall '-F 4 2 3'
loop_
_atom_site_label
_atom_site_type_symbol
_atom_site_fract_x
_atom_site_fract_y
_atom_site_fract_z
_atom_site_occupancy
Ba1 Ba 0.0000 0.0000 0.0000 1
Ta1 Ta 0.0000 0.0000 0.5000 1
B1 B 0.2500 0.2500 0.2500 1
# * crystal system: cubic
# * total energy: -84.05 eV for the cell shown
# * DOS(E_F): 0.944 states/eV/atom
# * offset from the most stable computed form: 762 meV/atom
# * magnetic moment: 0.0 μB per formula unit

=====

[6]
# Mg2BW2 (PBE-GGA, optimized geometry)
data_Mg2BW2
_cell_length_a 3.3120
_cell_length_b 3.3120
_cell_length_c 14.4491
_cell_angle_alpha 90.00
_cell_angle_beta 90.00
_cell_angle_gamma 90.00
_space_group_name_H-M_alt 'I 4/m m m'
_space_group_IT_number 139
_space_group_name_Hall '-I 4 2'
loop_
_atom_site_label
_atom_site_type_symbol
_atom_site_fract_x
_atom_site_fract_y
_atom_site_fract_z
_atom_site_occupancy
Mg1 Mg 0.0000 0.5000 0.2500 1
B1 B 0.0000 0.0000 0.0000 1
W1 W 0.0000 0.0000 0.4189 1
# * crystal system: tetragonal
# * total energy: -58.54 eV for the cell shown
# * DOS(E_F): 0.759 states/eV/atom
# * offset from the most stable computed form: 994 meV/atom
# * magnetic moment: 0.0 μB per formula unit

=====

[7]
# BaTa2MoAs (PBE-GGA, optimized geometry)
data_BaTa2MoAs
_cell_length_a 4.7905
_cell_length_b 4.7905
_cell_length_c 5.7138
_cell_angle_alpha 90.00
_cell_angle_beta 90.00
_cell_angle_gamma 90.00
_space_group_name_H-M_alt 'P 4/m m m'
_space_group_IT_number 123
_space_group_name_Hall '-P 4 2'
loop_
_atom_site_label
_atom_site_type_symbol
_atom_site_fract_x
_atom_site_fract_y
_atom_site_fract_z
_atom_site_occupancy
Ba1 Ba 0.0000 0.0000 0.0000 1
Ta1 Ta 0.0000 0.5000 0.5000 1
Mo1 Mo 0.5000 0.5000 0.0000 1
As1 As 0.0000 0.0000 0.5000 1
# * crystal system: tetragonal
# * total energy: -33.63 eV for the cell shown
# * DOS(E_F): 1.682 states/eV/atom
# * magnetic moment: 0.1 μB per formula unit